Below is a relaxed structure of LuGeNO, with properties calculated at the GGA-PBE level.

Computed properties:
**Spin magnetization**: 0.000 μB per formula unit
**Energy above the lowest structure with this stoichiometry**: 145 meV/atom

Unit cell a=4.673 b=4.673 c=4.792 alpha=90.00 beta=90.00 gamma=90.00
Element x y z (fractional)
Ge  0.750  0.750  0.012
Ge  0.250  0.250  0.988
Lu  0.750  0.250  0.500
Lu  0.250  0.750  0.500
N  0.750  0.750  0.412
N  0.250  0.250  0.588
O  0.750  0.250  0.000
O  0.250  0.750  0.000

=====

Below is a relaxed structure of Lu4GePbN2, with properties calculated at the GGA-PBE level.

Computed properties:
**Spin magnetization**: 0.004 μB per formula unit
**E**: -6.548 eV/atom

Unit cell a=3.435 b=3.435 c=14.556 alpha=90.00 beta=90.00 gamma=120.00
Element x y z (fractional)
Ge  0.000  0.000  0.000
Lu  0.667  0.333  0.151
Lu  0.000  0.000  0.326
Lu  0.000  0.000  0.674
Lu  0.667  0.333  0.849
N  0.333  0.667  0.241
N  0.333  0.667  0.759
Pb  0.667  0.333  0.500

=====

Below is a relaxed structure of Lu4Sc2Ge3N3, with properties calculated at the GGA-PBE level.

Computed properties:
**Spin magnetization**: 0.005 μB per formula unit
**E**: -7.063 eV/atom

Unit cell a=5.803 b=5.803 c=14.208 alpha=101.78 beta=101.78 gamma=60.01
Element x y z (fractional)
Ge  0.703  0.579  0.250
Ge  0.129  0.871  0.250
Ge  0.421  0.297  0.250
Ge  0.579  0.703  0.750
Ge  0.871  0.129  0.750
Ge  0.297  0.421  0.750
Lu  0.699  0.866  0.096
Lu  0.034  0.197  0.096
Lu  0.803  0.966  0.404
Lu  0.134  0.301  0.404
Lu  0.866  0.699  0.596
Lu  0.197  0.034  0.596
Lu  0.966  0.803  0.904
Lu  0.301  0.134  0.904
N  0.666  0.168  0.000
N  0.000  0.500  0.000
N  0.334  0.832  0.000
N  0.168  0.666  0.500
N  0.500  0.000  0.500
N  0.832  0.334  0.500
Sc  0.359  0.528  0.084
Sc  0.472  0.641  0.416
Sc  0.528  0.359  0.584
Sc  0.641  0.472  0.916

=====

Below is a relaxed structure of Lu4SnGeN2, with properties calculated at the GGA-PBE level.

Computed properties:
**Spin magnetization**: 0.002 μB per formula unit
**E**: -6.635 eV/atom

Unit cell a=3.419 b=3.419 c=14.482 alpha=90.00 beta=90.00 gamma=120.00
Element x y z (fractional)
Ge  0.333  0.667  0.000
Lu  0.667  0.333  0.152
Lu  0.333  0.667  0.329
Lu  0.333  0.667  0.671
Lu  0.667  0.333  0.848
N  0.000  0.000  0.242
N  0.000  0.000  0.758
Sn  0.667  0.333  0.500

=====

Below is a relaxed structure of Lu2Ge3W4N3, with properties calculated at the GGA-PBE level.

Computed properties:
**Spin magnetization**: 0.008 μB per formula unit
**E**: -8.651 eV/atom

Unit cell a=5.535 b=5.535 c=13.546 alpha=104.26 beta=104.26 gamma=60.32
Element x y z (fractional)
Ge  0.872  0.587  0.248
Ge  0.948  0.052  0.250
Ge  0.413  0.128  0.252
Ge  0.587  0.872  0.748
Ge  0.052  0.948  0.750
Ge  0.128  0.413  0.752
Lu  0.375  0.543  0.112
Lu  0.457  0.625  0.388
Lu  0.543  0.375  0.612
Lu  0.625  0.457  0.888
N  0.000  0.500  0.000
N  0.349  0.803  0.000
N  0.197  0.651  0.500
N  0.500  0.000  0.500
N  0.803  0.349  0.500
N  0.651  0.197  0.000
W  0.056  0.182  0.079
W  0.702  0.885  0.080
W  0.115  0.298  0.420
W  0.818  0.944  0.421
W  0.182  0.056  0.579
W  0.885  0.702  0.580
W  0.298  0.115  0.920
W  0.944  0.818  0.921

=====

Below is a relaxed structure of Lu4ZnGeN2, with properties calculated at the GGA-PBE level.

Computed properties:
**Spin magnetization**: 0.003 μB per formula unit
**E**: -6.161 eV/atom

Unit cell a=3.396 b=3.396 c=14.244 alpha=90.00 beta=90.00 gamma=120.00
Element x y z (fractional)
Ge  0.000  0.000  0.500
Lu  0.000  0.000  0.159
Lu  0.333  0.667  0.343
Lu  0.333  0.667  0.657
Lu  0.000  0.000  0.841
N  0.667  0.333  0.255
N  0.667  0.333  0.745
Zn  0.333  0.667  0.000

=====

Below is a relaxed structure of Lu2Zr4Ge3N3, with properties calculated at the GGA-PBE level.

Computed properties:
**Spin magnetization**: 0.005 μB per formula unit
**E**: -8.028 eV/atom

Unit cell a=5.753 b=5.753 c=14.191 alpha=101.80 beta=101.80 gamma=60.02
Element x y z (fractional)
Ge  0.415  0.210  0.250
Ge  0.038  0.962  0.250
Ge  0.790  0.585  0.250
Ge  0.210  0.415  0.750
Ge  0.962  0.038  0.750
Ge  0.585  0.790  0.750
Lu  0.370  0.533  0.099
Lu  0.467  0.630  0.401
Lu  0.533  0.370  0.599
Lu  0.630  0.467  0.901
N  0.664  0.172  0.000
N  0.000  0.500  0.000
N  0.336  0.828  0.000
N  0.172  0.664  0.500
N  0.500  0.000  0.500
N  0.828  0.336  0.500
Zr  0.028  0.198  0.089
Zr  0.697  0.862  0.089
Zr  0.138  0.303  0.411
Zr  0.802  0.972  0.411
Zr  0.198  0.028  0.589
Zr  0.862  0.697  0.589
Zr  0.303  0.138  0.911
Zr  0.972  0.802  0.911

=====

Below is a relaxed structure of NaLuGePd, with properties calculated at the GGA-PBE level.

Computed properties:
**Spin magnetization**: 0.002 μB per formula unit
**Energy above the lowest structure with this stoichiometry**: 33 meV/atom

Unit cell a=4.828 b=4.828 c=4.828 alpha=60.00 beta=60.00 gamma=60.00
Element x y z (fractional)
Ge  0.500  0.500  0.500
Lu  0.250  0.250  0.250
Na  0.750  0.750  0.750
Pd  0.000  0.000  0.000

=====

Below is a relaxed structure of NaLuGePd, with properties calculated at the GGA-PBE level.

Computed properties:
**Spin magnetization**: 0.000 μB per formula unit
**Energy above the lowest structure with this stoichiometry**: 0 meV/atom

Unit cell a=4.700 b=4.700 c=4.700 alpha=60.00 beta=60.00 gamma=60.00
Element x y z (fractional)
Ge  0.000  0.000  0.000
Lu  0.500  0.500  0.500
Na  0.750  0.750  0.750
Pd  0.250  0.250  0.250

=====

Below is a relaxed structure of NaLuGeSe3, with properties calculated at the GGA-PBE level.

Computed properties:
**Spin magnetization**: 0.005 μB per formula unit
**E**: -4.444 eV/atom

Unit cell a=7.242 b=7.242 c=11.065 alpha=90.00 beta=90.00 gamma=145.68
Element x y z (fractional)
Ge  0.532  0.468  0.250
Ge  0.468  0.532  0.750
Lu  0.000  0.000  0.000
Lu  0.000  0.000  0.500
Na  0.255  0.745  0.250
Na  0.745  0.255  0.750
Se  0.634  0.366  0.046
Se  0.918  0.082  0.250
Se  0.634  0.366  0.454
Se  0.366  0.634  0.546
Se  0.082  0.918  0.750
Se  0.366  0.634  0.954

=====

Below is a relaxed structure of LuNbGe, with properties calculated at the GGA-PBE level.

Computed properties:
**Spin magnetization**: 1.062 μB per formula unit
**E**: -6.509 eV/atom

Unit cell a=4.539 b=4.539 c=4.539 alpha=60.00 beta=60.00 gamma=60.00
Element x y z (fractional)
Ge  0.000  0.000  0.000
Lu  0.250  0.250  0.250
Nb  0.750  0.750  0.750

=====

Below is a relaxed structure of LuNbNiGe, with properties calculated at the GGA-PBE level.

Computed properties:
**Spin magnetization**: 1.878 μB per formula unit
**Energy above the lowest structure with this stoichiometry**: 0 meV/atom

Unit cell a=4.574 b=4.574 c=4.574 alpha=60.00 beta=60.00 gamma=60.00
Element x y z (fractional)
Ge  0.000  0.000  0.000
Lu  0.500  0.500  0.500
Nb  0.250  0.250  0.250
Ni  0.750  0.750  0.750